Entry 1:
VASP calculation (GGA-PBE) on PrY6Th4 after structural relaxation.

The calculation puts the energy relative to the elements at 0.15 eV per atom. The raw total energy comes out at -6.51 eV per atom. The magnetic moment comes out at 0.0 μB/cell.

Cell and atoms, written as CIF:
```
data_PrY6Th4
_chemical_formula_sum 'Pr4 Y24 Th16'
_space_group_name_H-M_alt 'C m c m'
_space_group_IT_number 63
_space_group_name_Hall '-C 2c 2'
_cell_length_a 5.777
_cell_length_b 9.651
_cell_length_c 26.122
_cell_angle_alpha 90.00
_cell_angle_beta 90.00
_cell_angle_gamma 90.00
loop_
_atom_site_label
_atom_site_fract_x
_atom_site_fract_y
_atom_site_fract_z
_atom_site_occupancy
Pr1 0.000 0.197 0.250 1
Y1 0.000 0.137 0.680 1
Y2 0.000 0.189 0.101 1
Y3 0.000 0.465 0.750 1
Y4 0.000 0.500 0.000 1
Th1 0.000 0.156 0.546 1
Th2 0.000 0.469 0.623 1
```

Entry 2:
VASP calculation (GGA-PBE) on Sb3PtCl after structural relaxation.

The value obtained for the energy above the most stable polymorph in this dataset is 3.80 eV/f.u. The raw total energy comes out at -2.94 eV per atom. As for the uncorrected formation energy: 1106 meV/atom. The magnetic moment comes out at 0.0 μB/cell.

Cell and atoms, written as CIF:
```
data_Sb3PtCl
_chemical_formula_sum 'Sb3 Pt1 Cl1'
_space_group_name_H-M_alt 'P m -3 m'
_space_group_IT_number 221
_space_group_name_Hall '-P 4 2 3'
_cell_length_a 5.166
_cell_length_b 5.166
_cell_length_c 5.166
_cell_angle_alpha 90.00
_cell_angle_beta 90.00
_cell_angle_gamma 90.00
loop_
_atom_site_label
_atom_site_fract_x
_atom_site_fract_y
_atom_site_fract_z
_atom_site_occupancy
Sb1 0.000 0.000 0.500 1
Pt1 0.500 0.500 0.500 1
Cl1 0.000 0.000 0.000 1
```

Entry 3:
VASP calculation (GGA-PBE) on NaTl2S3 after structural relaxation.

The value obtained for the energy above the most stable polymorph in this dataset is 0.00 eV/f.u. The raw total energy comes out at -3.45 eV per atom. As for the uncorrected formation energy: -382 meV/atom. The magnetic moment comes out at 0.0 μB/cell.

Cell and atoms, written as CIF:
```
data_NaTl2S3
_chemical_formula_sum 'Na4 Tl8 S12'
_space_group_name_H-M_alt 'C m c m'
_space_group_IT_number 63
_space_group_name_Hall '-C 2c 2'
_cell_length_a 5.199
_cell_length_b 22.060
_cell_length_c 5.648
_cell_angle_alpha 90.00
_cell_angle_beta 90.00
_cell_angle_gamma 90.00
loop_
_atom_site_label
_atom_site_fract_x
_atom_site_fract_y
_atom_site_fract_z
_atom_site_occupancy
Na1 0.000 0.105 0.250 1
Tl1 0.000 0.220 0.750 1
Tl2 0.000 0.441 0.250 1
S1 0.000 0.101 0.750 1
S2 0.000 0.241 0.250 1
S3 0.000 0.439 0.750 1
```

Entry 4:
VASP calculation (GGA-PBE) on Zn3CoPt12 after structural relaxation.

The calculation puts the energy relative to the elements at -0.28 eV per atom. The raw total energy comes out at -5.49 eV per atom. The magnetic moment comes out at 2.8 μB/cell.

Cell and atoms, written as CIF:
```
data_Zn3CoPt12
_chemical_formula_sum 'Zn3 Co1 Pt12'
_space_group_name_H-M_alt 'P 4/m m m'
_space_group_IT_number 123
_space_group_name_Hall '-P 4 2'
_cell_length_a 3.921
_cell_length_b 3.921
_cell_length_c 15.655
_cell_angle_alpha 90.00
_cell_angle_beta 90.00
_cell_angle_gamma 90.00
loop_
_atom_site_label
_atom_site_fract_x
_atom_site_fract_y
_atom_site_fract_z
_atom_site_occupancy
Zn1 0.000 0.000 0.000 1
Zn2 0.000 0.000 0.250 1
Co1 0.000 0.000 0.500 1
Pt1 0.000 0.500 0.126 1
Pt2 0.000 0.500 0.378 1
Pt3 0.500 0.500 0.000 1
Pt4 0.500 0.500 0.252 1
Pt5 0.500 0.500 0.500 1
```

Entry 5:
VASP calculation (GGA-PBE) on Ce2DySe4 after structural relaxation.

The value obtained for the energy above the most stable polymorph in this dataset is 0.00 eV/f.u. The raw total energy comes out at -6.14 eV per atom. As for the uncorrected formation energy: -1798 meV/atom. The magnetic moment comes out at 8.6 μB/cell.

Cell and atoms, written as CIF:
```
data_Ce2DySe4
_chemical_formula_sum 'Ce8 Dy4 Se16'
_space_group_name_H-M_alt 'I m m a'
_space_group_IT_number 74
_space_group_name_Hall '-I 2b 2'
_cell_length_a 8.272
_cell_length_b 8.396
_cell_length_c 11.632
_cell_angle_alpha 90.00
_cell_angle_beta 90.00
_cell_angle_gamma 90.00
loop_
_atom_site_label
_atom_site_fract_x
_atom_site_fract_y
_atom_site_fract_z
_atom_site_occupancy
Ce1 0.000 0.000 0.000 1
Ce2 0.250 0.250 0.250 1
Dy1 0.250 0.250 0.750 1
Se1 0.000 0.008 0.743 1
Se2 0.249 0.250 0.996 1
```

Entry 6:
VASP calculation (GGA-PBE) on Ta2BeAu after structural relaxation.

The calculation puts the energy relative to the elements at 0.19 eV per atom. The raw total energy comes out at -7.48 eV per atom. The magnetic moment comes out at 0.0 μB/cell.

Cell and atoms, written as CIF:
```
data_Ta2BeAu
_chemical_formula_sum 'Ta4 Be2 Au2'
_space_group_name_H-M_alt 'I -4 m 2'
_space_group_IT_number 119
_space_group_name_Hall 'I -4 -2'
_cell_length_a 3.873
_cell_length_b 3.873
_cell_length_c 8.648
_cell_angle_alpha 90.00
_cell_angle_beta 90.00
_cell_angle_gamma 90.00
loop_
_atom_site_label
_atom_site_fract_x
_atom_site_fract_y
_atom_site_fract_z
_atom_site_occupancy
Ta1 0.000 0.000 0.000 1
Ta2 0.000 0.500 0.250 1
Be1 0.000 0.000 0.500 1
Au1 0.000 0.500 0.750 1
```

Entry 7:
VASP calculation (GGA-PBE) on CaY after structural relaxation.

The calculation puts the energy relative to the elements at 0.11 eV per atom. The value obtained for the energy above the most stable polymorph in this dataset is 0.12 eV/f.u. The raw total energy comes out at -4.13 eV per atom. The magnetic moment comes out at 1.0 μB/cell.

Cell and atoms, written as CIF:
```
data_CaY
_chemical_formula_sum 'Ca2 Y2'
_space_group_name_H-M_alt 'P m m n'
_space_group_IT_number 59
_cell_length_a 3.676
_cell_length_b 5.938
_cell_length_c 6.593
_cell_angle_alpha 90.00
_cell_angle_beta 90.00
_cell_angle_gamma 90.00
loop_
_space_group_symop_operation_xyz
'x,y,z'
'-x,-y,-z'
'-x+1/2,-y+1/2,z'
'x+1/2,y+1/2,-z'
'x+1/2,-y,-z'
'-x+1/2,y,z'
'-x,y+1/2,-z'
'x,-y+1/2,z'
loop_
_atom_site_label
_atom_site_fract_x
_atom_site_fract_y
_atom_site_fract_z
_atom_site_occupancy
Ca1 0.250 0.250 0.092 1
Y1 0.250 0.750 0.424 1
```

Entry 8:
VASP calculation (GGA-PBE) on TaAgB2 after structural relaxation.

The calculation puts the energy relative to the elements at 0.84 eV per atom. The value obtained for the energy above the most stable polymorph in this dataset is 0.00 eV/f.u. The raw total energy comes out at -6.17 eV per atom. The magnetic moment comes out at 0.0 μB/cell.

Cell and atoms, written as CIF:
```
data_TaAgB2
_chemical_formula_sum 'Ta4 Ag4 B8'
_space_group_name_H-M_alt 'F m -3 m'
_space_group_IT_number 225
_space_group_name_Hall '-F 4 2 3'
_cell_length_a 5.757
_cell_length_b 5.757
_cell_length_c 5.757
_cell_angle_alpha 90.00
_cell_angle_beta 90.00
_cell_angle_gamma 90.00
loop_
_atom_site_label
_atom_site_fract_x
_atom_site_fract_y
_atom_site_fract_z
_atom_site_occupancy
Ta1 0.000 0.000 0.000 1
Ag1 0.000 0.000 0.500 1
B1 0.250 0.250 0.250 1
```